Entry 1:
Entry from the Alexandria database: a relaxed structure of TcIrRh (PBE).

The value obtained for the density of states at the Fermi level is 3.5 states/eV/f.u. As for the energy above the most stable polymorph in this dataset: 38 meV/atom. The calculation puts the calculated formation energy at -0.097 eV per atom. Its electronic total energy is -8.96 eV/atom.

It has space group P3m1 (No. 156), with a = 2.7256 Å, b = 2.7256 Å, c = 6.7209 Å, α = 90.00°, β = 90.00° and γ = 120.00°. The distinct sites, in fractional coordinates, are Tc at (0.0000, 0.0000, 0.0000), Ir at (0.6667, 0.3333, 0.3235) and Rh at (0.3333, 0.6667, 0.6715).

---

Entry 2:
Entry from the Alexandria database: a relaxed structure of TcIr12Rh3 (PBE).

The value obtained for the density of states at the Fermi level is 14.0 states/eV/f.u. The calculation puts the calculated formation energy at -0.051 eV per atom. Its electronic total energy is -8.72 eV/atom.

It has space group P4/mmm (No. 123), with a = 3.864 Å, b = 3.864 Å, c = 15.486 Å, α = 90.00°, β = 90.00° and γ = 90.00°. The distinct sites, in fractional coordinates, are Tc at (0.000, 0.000, 0.000), Ir at (0.000, 0.500, 0.123), Ir at (0.000, 0.500, 0.375), Ir at (0.500, 0.500, 0.000), Ir at (0.500, 0.500, 0.249), Ir at (0.500, 0.500, 0.500), Rh at (0.000, 0.000, 0.252) and Rh at (0.000, 0.000, 0.500).

---

Entry 3:
Entry from the Alexandria database: a relaxed structure of TlTc2IrRh (PBE).

The value obtained for the density of states at the Fermi level is 8.2 states/eV/f.u. The calculation puts the calculated formation energy at 2.760 eV per atom. Its electronic total energy is -5.10 eV/atom.

It has space group P4/mmm (No. 123), with a = 5.030 Å, b = 5.030 Å, c = 4.909 Å, α = 90.00°, β = 90.00° and γ = 90.00°. The distinct sites, in fractional coordinates, are Tl at (0.000, 0.000, 0.000), Tc at (0.000, 0.500, 0.000), Ir at (0.000, 0.000, 0.500) and Rh at (0.500, 0.500, 0.500).

---

Entry 4:
Entry from the Alexandria database: a relaxed structure of TlTcIr2Rh (PBE).

The value obtained for the density of states at the Fermi level is 7.3 states/eV/f.u. The calculation puts the calculated formation energy at 2.694 eV per atom. Its electronic total energy is -4.87 eV/atom.

It has space group P4/mmm (No. 123), with a = 4.918 Å, b = 4.918 Å, c = 5.014 Å, α = 90.00°, β = 90.00° and γ = 90.00°. The distinct sites, in fractional coordinates, are Tl at (0.000, 0.000, 0.000), Tc at (0.000, 0.000, 0.500), Ir at (0.000, 0.500, 0.000) and Rh at (0.500, 0.500, 0.500).

---

Entry 5:
Entry from the Alexandria database: a relaxed structure of UTcIrRh (PBE).

The value obtained for the density of states at the Fermi level is 2.8 states/eV/f.u. The calculation puts the calculated formation energy at -0.517 eV per atom. Its electronic total energy is -9.98 eV/atom.

It has space group Pmmm (No. 47), with a = 3.989 Å, b = 3.995 Å, c = 4.107 Å, α = 90.00°, β = 90.00° and γ = 90.00°. The distinct sites, in fractional coordinates, are U at (0.000, 0.000, 0.000), Tc at (0.500, 0.500, 0.000), Ir at (0.000, 0.500, 0.500) and Rh at (0.500, 0.000, 0.500).

---

Entry 6:
Entry from the Alexandria database: a relaxed structure of VTcIrRh (PBE).

The value obtained for the density of states at the Fermi level is 3.4 states/eV/f.u. The calculation puts the calculated formation energy at -0.330 eV per atom. Its electronic total energy is -9.25 eV/atom.

It has space group Pmmm (No. 47), with a = 3.827 Å, b = 3.834 Å, c = 3.838 Å, α = 90.00°, β = 90.00° and γ = 90.00°. The distinct sites, in fractional coordinates, are V at (0.000, 0.000, 0.000), Tc at (0.000, 0.500, 0.500), Ir at (0.500, 0.000, 0.500) and Rh at (0.500, 0.500, 0.000).

---

Entry 7:
Entry from the Alexandria database: a relaxed structure of ZnTcIrRh2 (PBE).

The value obtained for the density of states at the Fermi level is 7.6 states/eV/f.u. The calculation puts the calculated formation energy at 1.440 eV per atom. Its electronic total energy is -5.60 eV/atom.

It has space group P4/mmm (No. 123), with a = 4.776 Å, b = 4.776 Å, c = 4.657 Å, α = 90.00°, β = 90.00° and γ = 90.00°. The distinct sites, in fractional coordinates, are Zn at (0.000, 0.000, 0.000), Tc at (0.500, 0.500, 0.000), Ir at (0.500, 0.500, 0.500) and Rh at (0.000, 0.500, 0.500).

---

Entry 8:
Entry from the Alexandria database: a relaxed structure of Te2IrRh2 (PBE).

The value obtained for the density of states at the Fermi level is 6.1 states/eV/f.u. As for the uncorrected formation energy: 0.754 eV/atom. As for the energy above the most stable polymorph in this dataset: 514 meV/atom. Its electronic total energy is -5.22 eV/atom.

It has space group I4/mmm (No. 139), with a = 4.390 Å, b = 4.390 Å, c = 10.648 Å, α = 90.00°, β = 90.00° and γ = 90.00°. The distinct sites, in fractional coordinates, are Te at (0.000, 0.500, 0.250), Ir at (0.000, 0.000, 0.000) and Rh at (0.000, 0.000, 0.381).

---

Results for total magnetic moment: 0.0000, 0.0000, 1.5236, 1.2372, 0.0000, 0.0000, 0.3243, 0.0000 (in μB/atom, following the order of the records).